Entry A
{"formula": "Mg2W", "functional": "PBE-GGA", "state": "relaxed", "crystal_system": "orthorhombic", "magnetic_moment_mub_per_fu": 0.00, "lattice": [[1.3996, -7.7613, 0.0000], [1.3996, 7.7613, 0.0000], [0.0000, 0.0000, 4.9429]], "species": ["Mg", "Mg", "Mg", "Mg", "W", "W"], "fractional_positions": [[0.0565, 0.9435, 0.7500], [0.2766, 0.7234, 0.2500], [0.7234, 0.2766, 0.7500], [0.9435, 0.0565, 0.2500], [0.3936, 0.6064, 0.7500], [0.6064, 0.3936, 0.2500]]}

Entry B
{"formula": "Mg2W", "functional": "PBE-GGA", "state": "relaxed", "crystal_system": "cubic", "magnetic_moment_mub_per_fu": 5.03, "lattice": [[0.0000, 6.5382, 6.5382], [6.5382, 0.0000, 6.5382], [6.5382, 6.5382, 0.0000]], "species": ["Mg", "Mg", "Mg", "Mg", "W", "W"], "fractional_positions": [[0.0000, 0.0000, 0.0000], [0.0000, 0.0000, 0.5000], [0.0000, 0.5000, 0.0000], [0.5000, 0.0000, 0.0000], [0.1250, 0.1250, 0.1250], [0.8750, 0.8750, 0.8750]]}

The data favor entry A; the next most stable structure lies 1997 meV per atom above it.

Entry A
{"formula": "Mg2W", "functional": "PBE-GGA", "state": "relaxed", "crystal_system": "hexagonal", "magnetic_moment_mub_per_fu": 0.00, "lattice": [[5.0239, 0.0000, 0.0000], [-2.5119, 4.3508, 0.0000], [0.0000, 0.0000, 4.9311]], "species": ["Mg", "Mg", "Mg", "Mg", "W", "W"], "fractional_positions": [[0.0000, 0.0000, 0.0000], [0.0000, 0.6462, 0.5000], [0.3538, 0.3538, 0.5000], [0.6462, 0.0000, 0.5000], [0.3333, 0.6667, 0.0000], [0.6667, 0.3333, 0.0000]]}

Entry B
{"formula": "Mg2W", "functional": "PBE-GGA", "state": "relaxed", "crystal_system": "tetragonal", "magnetic_moment_mub_per_fu": 0.11, "lattice": [[7.5121, 0.0000, 0.0000], [0.0000, 7.5121, 0.0000], [0.0000, 0.0000, 2.6132]], "species": ["Mg", "Mg", "Mg", "Mg", "W", "W"], "fractional_positions": [[0.2401, 0.2401, 0.0000], [0.2599, 0.7401, 0.5000], [0.7401, 0.2599, 0.5000], [0.7599, 0.7599, 0.0000], [0.0000, 0.0000, 0.5000], [0.5000, 0.5000, 0.0000]]}

Entry C
{"formula": "Mg2W", "functional": "PBE-GGA", "state": "relaxed", "crystal_system": "monoclinic", "magnetic_moment_mub_per_fu": 0.00, "lattice": [[8.4661, 0.0000, 0.0000], [0.0000, 4.5595, 0.0000], [-0.4345, 0.0000, 11.7637]], "species": ["Mg", "Mg", "Mg", "Mg", "Mg", "Mg", "Mg", "Mg", "Mg", "Mg", "Mg", "Mg", "Mg", "Mg", "Mg", "Mg", "W", "W", "W", "W", "W", "W", "W", "W"], "fractional_positions": [[0.0782, 0.2500, 0.2115], [0.0833, 0.2500, 0.4601], [0.0922, 0.2500, 0.9552], [0.0994, 0.2500, 0.7091], [0.2568, 0.7500, 0.1212], [0.2586, 0.7500, 0.3726], [0.4172, 0.2500, 0.5412], [0.4212, 0.2500, 0.0393], [0.5788, 0.7500, 0.9607], [0.5828, 0.7500, 0.4588], [0.7414, 0.2500, 0.6274], [0.7432, 0.2500, 0.8788], [0.9006, 0.7500, 0.2909], [0.9078, 0.7500, 0.0448], [0.9167, 0.7500, 0.5399], [0.9218, 0.7500, 0.7885], [0.2686, 0.7500, 0.8521], [0.2721, 0.7500, 0.6421], [0.4214, 0.2500, 0.7913], [0.4424, 0.2500, 0.2872], [0.5576, 0.7500, 0.7128], [0.5786, 0.7500, 0.2087], [0.7279, 0.2500, 0.3579], [0.7314, 0.2500, 0.1479]]}

Entry D
{"formula": "Mg2W", "functional": "PBE-GGA", "state": "relaxed", "crystal_system": "orthorhombic", "magnetic_moment_mub_per_fu": 0.01, "lattice": [[4.6810, 0.0000, 0.0000], [0.0000, 8.6641, 0.0000], [0.0000, 0.0000, 5.3769]], "species": ["Mg", "Mg", "Mg", "Mg", "Mg", "Mg", "Mg", "Mg", "W", "W", "W", "W"], "fractional_positions": [[0.2500, 0.0752, 0.0987], [0.2500, 0.2500, 0.5763], [0.2500, 0.4248, 0.0987], [0.2500, 0.7500, 0.0784], [0.7500, 0.2500, 0.9216], [0.7500, 0.5752, 0.9013], [0.7500, 0.7500, 0.4237], [0.7500, 0.9248, 0.9013], [0.2500, 0.5794, 0.5673], [0.2500, 0.9206, 0.5673], [0.7500, 0.0794, 0.4327], [0.7500, 0.4206, 0.4327]]}

The data favor entry C; the next most stable structure lies 76 meV per atom above it.